Here is crystalline Rb2SrDyF6 at its relaxed geometry from Alexandria. Energies are from PBE-GGA.

Summary:
density of states at the Fermi level: 0.154 states/eV/atom
formation energy from raw total energies: -3.29 eV per atom

Cell lengths 6.6925, 6.7055, 9.4691 Å; angles 90.00, 90.00, 90.00 degrees
Closest atoms and distances in Å follow each position.
Space group Immm (No. 71)
Unique sites:
Rb1 0.0000 0.0000 0.2500 (multiplicity 4)  12 F 3.35-3.36
Sr1 0.0000 0.5000 0.0000 (multiplicity 2)  6 F 2.51
Dy1 0.0000 0.5000 0.5000 (multiplicity 2)  6 F 2.23
F1 0.0000 0.5000 0.2647 (multiplicity 4)  1 Dy 2.23
F2 0.2353 0.2648 0.5000 (multiplicity 8)  1 Dy 2.23

---

Here is crystalline RbSrDyF6 at its relaxed geometry from Alexandria. Energies are from PBE-GGA.

Summary:
density of states at the Fermi level: 0.000 states/eV/atom
formation energy from raw total energies: -3.70 eV per atom

Cell lengths 7.9853, 8.0689, 11.3117 Å; angles 90.00, 90.00, 90.00 degrees
Closest atoms and distances in Å follow each position.
Space group Imma (No. 74)
Unique sites:
Rb1 0.0000 0.2500 0.1414 (multiplicity 4)  5 F 3.05-3.14
Sr1 0.2500 0.2500 0.7500 (multiplicity 4)  6 F 2.38-2.64
Dy1 0.0000 0.0000 0.5000 (multiplicity 4)  6 F 2.16-2.21
F1 0.0000 0.2500 0.5793 (multiplicity 4)  2 Dy 2.21
F2 0.0000 0.2500 0.8641 (multiplicity 4)  2 Sr 2.38
F3 0.1926 0.0267 0.3670 (multiplicity 16)  1 Dy 2.16

---

Here is crystalline Rb2DyTlF6 at its relaxed geometry from Alexandria. Energies are from PBE-GGA.

Summary:
density of states at the Fermi level: 0.000 states/eV/atom
formation energy from raw total energies: -3.13 eV per atom

Cell lengths 6.6497, 6.8787, 11.5462 Å; angles 90.00, 124.77, 90.00 degrees
Closest atoms and distances in Å follow each position.
Space group P2_1/c (No. 14)
Unique sites:
Rb1 0.2324 0.0467 0.2466 (multiplicity 4)  5 F 2.82-3.10
Dy1 0.5000 0.0000 0.0000 (multiplicity 2)  6 F 2.19-2.20
Tl1 0.0000 0.0000 0.5000 (multiplicity 2)  6 F 2.74-2.82
F1 0.1879 0.1758 0.9554 (multiplicity 4)  1 Dy 2.19
F2 0.2658 0.7401 0.9338 (multiplicity 4)  1 Dy 2.20
F3 0.3865 0.0518 0.7828 (multiplicity 4)  1 Dy 2.20

---

Q: Which of these has the lowest formation energy from raw total energies?
A: RbSrDyF6

---

Q: Number 1 is which compound?
A: Rb2SrDyF6

---

Repeat the third record exactly.
Here is crystalline Rb2DyTlF6 at its relaxed geometry from Alexandria. Energies are from PBE-GGA.

Summary:
density of states at the Fermi level: 0.000 states/eV/atom
formation energy from raw total energies: -3.13 eV per atom

Cell lengths 6.6497, 6.8787, 11.5462 Å; angles 90.00, 124.77, 90.00 degrees
Closest atoms and distances in Å follow each position.
Space group P2_1/c (No. 14)
Unique sites:
Rb1 0.2324 0.0467 0.2466 (multiplicity 4)  5 F 2.82-3.10
Dy1 0.5000 0.0000 0.0000 (multiplicity 2)  6 F 2.19-2.20
Tl1 0.0000 0.0000 0.5000 (multiplicity 2)  6 F 2.74-2.82
F1 0.1879 0.1758 0.9554 (multiplicity 4)  1 Dy 2.19
F2 0.2658 0.7401 0.9338 (multiplicity 4)  1 Dy 2.20
F3 0.3865 0.0518 0.7828 (multiplicity 4)  1 Dy 2.20